Below is a relaxed PrZnSn2O6 crystal, with properties calculated at the GGA-PBE level.

Results
Space group: Pmn2_1
Raw formation energy in eV/f.u.: -18.7
DOS at the Fermi energy in states/eV per cell: 2.80
Calculated density in kg/m³: 6393

Lattice parameters (Å, degrees): 8.155 6.171 5.572 90.00 90.00 90.00
Element x y z (fractional)
Pr 0.000 0.169 0.000
Pr 0.500 0.831 0.500
Zn 0.000 0.877 0.494
Zn 0.500 0.123 0.994
Sn 0.243 0.715 0.978
Sn 0.257 0.285 0.478
Sn 0.743 0.285 0.478
Sn 0.757 0.715 0.978
O 0.000 0.235 0.577
O 0.000 0.787 0.835
O 0.188 0.945 0.272
O 0.193 0.425 0.146
O 0.307 0.575 0.646
O 0.312 0.055 0.772
O 0.500 0.213 0.335
O 0.500 0.765 0.077
O 0.688 0.055 0.772
O 0.693 0.575 0.646
O 0.807 0.425 0.146
O 0.812 0.945 0.272